An optimized crystal structure of BeNiSe, computed with PBE.

```
6
Lattice="-2.268 1.749 -1.984 -3.693 -7.105 1.012 -2.199 2.615 1.759" Properties=species:S:1:pos:R:3 pbc="T T T"
Be -2.559 -2.799 0.898
Be -4.860 -2.453 0.774
Se -3.341 0.490 -1.429
Se -3.961 -4.817 0.722
Ni -3.430 -0.684 0.698
Ni -5.938 -0.380 0.773
```

Computed properties:
calculated volume: 15.33 A^3/atom
spin magnetization: 0.000 μB/f.u.
raw total energy: -4.59 eV/atom
ΔE_f (raw): -264.3 meV/atom


An optimized crystal structure of DyHo2UAs4, computed with PBE.

```
8
Lattice="4.084 0.000 0.000 0.000 7.095 0.139 0.000 -2.464 6.653" Properties=species:S:1:pos:R:3 pbc="T T T"
Dy 2.042 3.547 0.070
Ho 2.042 -1.232 3.327
Ho 0.000 2.315 3.396
U 0.000 0.000 0.000
As 2.042 1.148 1.693
As 2.042 3.482 5.100
As 0.000 -0.101 5.035
As 0.000 4.732 1.758
```

Computed properties:
ΔE_f: -128 kJ per mole of atoms
calculated volume: 24.27 A^3/atom
spin magnetization: 2.329 μB/f.u.
raw total energy: -6.78 eV/atom


An optimized crystal structure of InCoSn2Br, computed with PBE.

```
5
Lattice="4.938 0.000 0.000 0.000 4.938 0.000 0.000 0.000 5.128" Properties=species:S:1:pos:R:3 pbc="T T T"
Co 0.000 0.000 0.000
Sn 0.000 2.469 0.000
Sn 2.469 0.000 0.000
Br 2.469 2.469 2.564
In 0.000 0.000 2.564
```

Computed properties:
calculated volume: 25.01 A^3/atom
spin magnetization: 0.000 μB/f.u.
raw total energy: -4.11 eV/atom
ΔE_f (raw): -203.0 meV/atom